(1)
12
Lattice="5.373 0.000 0.000 0.000 4.263 0.000 -2.672 0.000 7.381" Properties=species:S:1:pos:R:3 comment="MnZn4Ir PBE optimized geometry" space_group=P2_1/m pbc="T T T"
Mn 0.002 1.066 1.786
Mn 2.699 3.197 5.595
Zn -1.333 1.066 4.313
Zn -1.291 1.066 6.767
Zn 1.384 3.197 0.616
Zn 1.351 3.197 3.068
Zn 1.350 1.066 4.313
Zn 1.317 1.066 6.765
Zn 3.993 3.197 0.614
Zn 4.035 3.197 3.067
Ir 0.009 3.197 5.478
Ir 2.692 1.066 1.903



(2)
4
Lattice="1.472 0.850 9.817 -1.472 0.850 9.817 0.000 -1.700 9.817" Properties=species:S:1:pos:R:3 comment="OsAu2Cl PBE optimized geometry" e_form_raw_ev_per_atom=0.51 space_group=R3m pbc="T T T"
Os 0.000 0.000 0.000
Au 0.000 0.000 7.614
Au 0.000 0.000 15.009
Cl 0.000 0.000 21.438



Number 1: excess energy over the best structure of this formula in the dataset 0.000 eV/atom, V 14.1 Å³/atom, total energy -3.969 eV/atom. Number 2: excess energy over the best structure of this formula in the dataset 0.015 eV/atom, V 18.4 Å³/atom, total energy -4.396 eV/atom.